# 1
Here is a relaxed structure of TiInPAu2 from the Alexandria database. Energies are from PBE.

Results
- Magnetization: 0.00 μB/cell
- Volume: 124 Å³ per cell
- Formation enthalpy at 0 K: 232.3 meV per atom
- ρ: 7880 kg/m3
- N(E_F): 2.81 states/eV/f.u.

The structure in CIF format:
```
data_TiInPAu2
_chemical_formula_sum 'Ti1 In1 P1 Au2'
_cell_length_a 5.183
_cell_length_b 5.183
_cell_length_c 4.609
_cell_angle_alpha 90.00
_cell_angle_beta 90.00
_cell_angle_gamma 90.00
_space_group_name_H-M_alt 'P 4/m m m'
_space_group_IT_number 123
_space_group_name_Hall '-P 4 2'
loop_
_atom_site_label
_atom_site_fract_x
_atom_site_fract_y
_atom_site_fract_z
Ti1 0.000 0.000 0.000
In1 0.500 0.500 0.500
P1 0.000 0.000 0.500
Au1 0.000 0.500 0.000
```


# 2
Here is a relaxed structure of PaInAu3 from the Alexandria database. Energies are from PBE.

Results
- Magnetization: 4.48 μB/cell
- Volume: 465 Å³ per cell
- Energy relative to the lowest polymorph listed for this composition: 186 meV/atom
- Formation enthalpy at 0 K: -149.4 meV per atom
- ρ: 13382 kg/m3
- N(E_F): 6.89 states/eV/f.u.

The structure in CIF format:
```
data_PaInAu3
_chemical_formula_sum 'Pa4 In4 Au12'
_cell_length_a 18.477
_cell_length_b 5.112
_cell_length_c 5.120
_cell_angle_alpha 90.00
_cell_angle_beta 105.98
_cell_angle_gamma 90.00
_space_group_name_H-M_alt 'C 1 2/m 1'
_space_group_IT_number 12
loop_
_space_group_symop_operation_xyz
'x,y,z'
'-x,-y,-z'
'-x,y,-z'
'x,-y,z'
'x+1/2,y+1/2,z'
'-x+1/2,-y+1/2,-z'
'-x+1/2,y+1/2,-z'
'x+1/2,-y+1/2,z'
loop_
_atom_site_label
_atom_site_fract_x
_atom_site_fract_y
_atom_site_fract_z
Pa1 0.116 0.000 0.367
In1 0.126 0.500 0.877
Au1 0.032 0.500 0.282
Au2 0.199 0.000 0.948
Au3 0.211 0.500 0.462
```


# 3
Here is a relaxed structure of Pa2In3Au4 from the Alexandria database. Energies are from PBE.

Results
- Magnetization: 0.00 μB/cell
- Volume: 405 Å³ per cell
- Formation enthalpy at 0 K: -305.4 meV per atom
- ρ: 13081 kg/m3
- N(E_F): 7.47 states/eV/f.u.

The structure in CIF format:
```
data_Pa2In3Au4
_chemical_formula_sum 'Pa4 In6 Au8'
_cell_length_a 8.472
_cell_length_b 4.891
_cell_length_c 9.769
_cell_angle_alpha 90.00
_cell_angle_beta 90.13
_cell_angle_gamma 90.00
_space_group_name_H-M_alt 'C 1 2/m 1'
_space_group_IT_number 12
loop_
_space_group_symop_operation_xyz
'x,y,z'
'-x,-y,-z'
'-x,y,-z'
'x,-y,z'
'x+1/2,y+1/2,z'
'-x+1/2,-y+1/2,-z'
'-x+1/2,y+1/2,-z'
'x+1/2,-y+1/2,z'
loop_
_atom_site_label
_atom_site_fract_x
_atom_site_fract_y
_atom_site_fract_z
Pa1 0.166 0.000 0.290
In1 0.000 0.500 0.500
In2 0.168 0.000 0.925
Au1 0.001 0.500 0.839
Au2 0.167 0.000 0.602
```


# 4
Here is a relaxed structure of PaInAu from the Alexandria database. Energies are from PBE.

Results
- Magnetization: 2.24 μB/cell
- Volume: 138 Å³ per cell
- Formation enthalpy at 0 K: 113.8 meV per atom
- ρ: 13058 kg/m3
- N(E_F): 4.48 states/eV/f.u.

The structure in CIF format:
```
data_PaInAu
_chemical_formula_sum 'Pa2 In2 Au2'
_cell_length_a 4.8526
_cell_length_b 4.8526
_cell_length_c 6.7697
_cell_angle_alpha 90.00
_cell_angle_beta 90.00
_cell_angle_gamma 120.00
_space_group_name_H-M_alt 'P -3 m 1'
_space_group_IT_number 164
_space_group_name_Hall '-P 3 2"'
loop_
_atom_site_label
_atom_site_fract_x
_atom_site_fract_y
_atom_site_fract_z
Pa1 0.3333 0.6667 0.4382
In1 0.0000 0.0000 0.2255
Au1 0.3333 0.6667 0.8972
```